# MgSe2Br

An optimized crystal structure of MgSe2Br (GGA-PBE, Alexandria via LeMat-Bulk).

Properties
VASP energy, eV for the cell shown: -23.48
ρ, g cm⁻³: 4.69
Offset from the most stable computed form, meV/atom: 285
ΔE_f (raw), meV per atom: -376

a b c (Å): 3.5670 4.1876 12.4185
angles (deg): 90.00 90.00 90.00
With the nearest neighbours (Å) after each atom.
Space group Immm (No. 71)
Unique sites:
Mg 0.0000 0.0000 0.0000 [2 per cell]  4 Br 2.75
Se 0.0000 0.5000 0.2649 [4 per cell]  4 Se 2.78
Br 0.0000 0.0000 0.5000 [2 per cell]  4 Mg 2.75